Record 1
CdNi2Br: relaxed, PBEsol.

a = 3.0770 Å, b = 3.0770 Å, c = 22.5352 Å
α = 90.00°, β = 90.00°, γ = 120.00°
Space group R-3m (No. 166, hexagonal axes)
One atom of each set of equivalent atoms:
Cd1 0.0000 0.0000 0.0000
Ni1 0.0000 0.0000 0.2451
Br1 0.0000 0.0000 0.5000

The calculation puts the volume at 184.8 Å³/cell. The value obtained for the final energy is -42.26 eV/cell.

=====

Record 2
CdNi3Br: relaxed, PBEsol.

a = 4.670 Å, b = 4.670 Å, c = 4.670 Å
α = 90.00°, β = 90.00°, γ = 90.00°
Space group Pm-3m (No. 221)
One atom of each set of equivalent atoms:
Cd1 0.000 0.000 0.000
Ni1 0.000 0.000 0.500
Br1 0.500 0.500 0.500

The calculation puts the volume at 101.8 Å³/cell. The value obtained for the final energy is -14.51 eV/cell.

=====

Record 3
CdNiSe2Br: relaxed, PBEsol.

a = 4.691 Å, b = 4.691 Å, c = 4.825 Å
α = 90.00°, β = 90.00°, γ = 90.00°
Space group P4/mmm (No. 123)
One atom of each set of equivalent atoms:
Cd1 0.000 0.000 0.000
Ni1 0.500 0.500 0.500
Se1 0.000 0.500 0.500
Br1 0.500 0.500 0.000

The calculation puts the volume at 106.2 Å³/cell. The value obtained for the final energy is -16.39 eV/cell.

=====

Record 4
CdBr2O4: relaxed, PBEsol.

a = 3.569 Å, b = 9.254 Å, c = 7.262 Å
α = 90.00°, β = 114.97°, γ = 90.00°
Space group P2_1/c (No. 14)
One atom of each set of equivalent atoms:
Cd1 0.000 0.000 0.000
Br1 0.445 0.176 0.514
O1 0.429 0.146 0.915
O2 0.470 0.073 0.317

The calculation puts the volume at 217.4 Å³/cell. The value obtained for the final energy is -53.54 eV/cell.

=====

Record 5
Cd2BrO: relaxed, PBEsol.

a = 6.601 Å, b = 6.601 Å, c = 6.601 Å
α = 90.00°, β = 90.00°, γ = 90.00°
Space group Fm-3m (No. 225)
One atom of each set of equivalent atoms:
Cd1 0.250 0.250 0.250
Br1 0.000 0.000 0.000
O1 0.000 0.000 0.500

The calculation puts the volume at 287.6 Å³/cell. The value obtained for the final energy is -38.04 eV/cell.

=====

Record 6
CdOsBr3: relaxed, PBEsol.

a = 5.000 Å, b = 5.000 Å, c = 5.000 Å
α = 90.00°, β = 90.00°, γ = 90.00°
Space group Pm-3m (No. 221)
One atom of each set of equivalent atoms:
Cd1 0.000 0.000 0.000
Os1 0.500 0.500 0.500
Br1 0.000 0.500 0.500

The calculation puts the volume at 125.0 Å³/cell. The value obtained for the final energy is -16.94 eV/cell.

=====

Record 7
CdOsBr4: relaxed, PBEsol.

a = 8.462 Å, b = 8.462 Å, c = 8.462 Å
α = 90.00°, β = 90.00°, γ = 90.00°
Space group F-43m (No. 216)
One atom of each set of equivalent atoms:
Cd1 0.000 0.000 0.000
Os1 0.250 0.250 0.250
Br1 0.124 0.124 0.624

The calculation puts the volume at 606.0 Å³/cell. The value obtained for the final energy is -46.76 eV/cell.

=====

Record 8
Cd2PBr: relaxed, PBEsol.

a = 3.765 Å, b = 3.765 Å, c = 6.866 Å
α = 90.00°, β = 90.00°, γ = 90.00°
Space group P4mm (No. 99)
One atom of each set of equivalent atoms:
Cd1 0.000 0.000 0.000
Cd2 0.500 0.500 0.380
P1 0.000 0.000 0.360
Br1 0.500 0.500 0.825

As for the energy relative to the lowest polymorph listed for this composition: 60 kJ/mol of formula units. The calculation puts the volume at 97.3 Å³/cell.

=====

Record 9
Cd2PBr: relaxed, PBEsol.

a = 6.051 Å, b = 6.051 Å, c = 12.536 Å
α = 90.00°, β = 90.00°, γ = 90.00°
Space group I-42d (No. 122)
One atom of each set of equivalent atoms:
Cd1 0.187 0.250 0.125
P1 0.000 0.000 0.000
Br1 0.000 0.000 0.500

As for the energy relative to the lowest polymorph listed for this composition: 0 kJ/mol of formula units. The calculation puts the volume at 459.1 Å³/cell.

=====

Record 10
Cd2PBr: relaxed, PBEsol.

a = 3.607 Å, b = 3.802 Å, c = 13.602 Å
α = 90.00°, β = 90.00°, γ = 90.00°
Space group Imm2 (No. 44)
One atom of each set of equivalent atoms:
Cd1 0.000 0.000 0.000
Cd2 0.000 0.500 0.189
P1 0.000 0.500 0.645
Br1 0.000 0.000 0.390

As for the energy relative to the lowest polymorph listed for this composition: 91 kJ/mol of formula units. The calculation puts the volume at 186.6 Å³/cell.

=====

Record 11
Cd2PBr: relaxed, PBEsol.

a = 3.405 Å, b = 3.405 Å, c = 7.307 Å
α = 90.00°, β = 90.00°, γ = 90.00°
Space group P4/mmm (No. 123)
One atom of each set of equivalent atoms:
Cd1 0.000 0.000 0.210
P1 0.500 0.500 0.000
Br1 0.500 0.500 0.500

As for the energy relative to the lowest polymorph listed for this composition: 149 kJ/mol of formula units. The calculation puts the volume at 84.7 Å³/cell.

=====

Record 12
Cd2PBr: relaxed, PBEsol.

a = 6.949 Å, b = 6.949 Å, c = 6.949 Å
α = 90.00°, β = 90.00°, γ = 90.00°
Space group F-43m (No. 216)
One atom of each set of equivalent atoms:
Cd1 0.000 0.000 0.000
Cd2 0.250 0.250 0.250
P1 0.250 0.250 0.750
Br1 0.000 0.000 0.500

As for the energy relative to the lowest polymorph listed for this composition: 283 kJ/mol of formula units. The calculation puts the volume at 335.6 Å³/cell.